Below is a relaxed Cs2LiAsF6 crystal, with properties calculated at the PBE level.

Energy relative to the elements, uncorrected (eV/atom): -2.529

a b c (Å): 6.2171 6.2171 6.2371
angles (deg): 60.11 60.11 90.00
Element x y z (fractional)
F 0.7623 0.7623 0.4753
F 0.7605 0.7605 0.0000
F 0.2395 0.7605 0.0000
F 0.2395 0.2395 0.0000
F 0.7605 0.2395 0.0000
F 0.2377 0.2377 0.5247
As 0.0000 0.0000 0.0000
Cs 0.7500 0.2500 0.5000
Cs 0.2500 0.7500 0.5000
Li 0.5000 0.5000 0.0000